(1)
CsTl3Pt: relaxed, PBE.

## Properties
- uncorrected energy (Ry/atom) = -0.198
- space group = P6_3/mmc (194)
- polymorph energy (0 for the lowest one) (meV per atom) = 257
- calculated formation energy (eV per formula unit) = 0.55

Structure (POSCAR):
```
CsTl3Pt
1.0
4.664 0.000 0.000
-2.332 4.039 0.000
0.000 0.000 22.814
Cs Tl Pt
2 6 2
Direct
0.000 0.000 0.000
0.000 0.000 0.500
0.000 0.000 0.250
0.000 0.000 0.750
0.333 0.667 0.131
0.333 0.667 0.369
0.667 0.333 0.631
0.667 0.333 0.869
0.333 0.667 0.250
0.667 0.333 0.750
```



(2)
CsTl3Pt: relaxed, PBE.

## Properties
- uncorrected energy (Ry/atom) = -0.214
- space group = R-3m (166)
- polymorph energy (0 for the lowest one) (meV per atom) = 39
- calculated formation energy (eV per formula unit) = -0.54

Structure (POSCAR):
```
CsTl3Pt
1.0
3.968 2.291 6.139
-3.968 2.291 6.139
0.000 -4.582 6.139
Cs Tl Pt
2 6 2
Direct
0.099 0.099 0.099
0.901 0.901 0.901
0.126 0.570 0.570
0.430 0.430 0.874
0.430 0.874 0.430
0.570 0.126 0.570
0.570 0.570 0.126
0.874 0.430 0.430
0.312 0.312 0.312
0.688 0.688 0.688
```



(3)
CsTl2Pt2: relaxed, PBE.

## Properties
- uncorrected energy (Ry/atom) = -0.254
- space group = P4/mbm (127)
- polymorph energy (0 for the lowest one) (meV per atom) = 222
- calculated formation energy (eV per formula unit) = 0.36

Structure (POSCAR):
```
CsTl2Pt2
1.0
8.906 0.000 0.000
0.000 8.906 0.000
0.000 0.000 3.129
Cs Tl Pt
2 4 4
Direct
0.000 0.000 0.000
0.500 0.500 0.000
0.131 0.369 0.500
0.369 0.869 0.500
0.631 0.131 0.500
0.869 0.631 0.500
0.160 0.660 0.000
0.340 0.160 0.000
0.660 0.840 0.000
0.840 0.340 0.000
```



(4)
CsTl5Pt2: relaxed, PBE.

## Properties
- uncorrected energy (Ry/atom) = -0.236
- space group = Immm (71)
- calculated formation energy (eV per formula unit) = -0.87

Structure (POSCAR):
```
CsTl5Pt2
1.0
-2.383 4.040 6.249
2.383 -4.040 6.249
2.383 4.040 -6.249
Cs Tl Pt
1 5 2
Direct
0.000 0.000 0.000
0.134 0.341 0.793
0.452 0.659 0.793
0.500 0.000 0.500
0.548 0.341 0.207
0.866 0.659 0.207
0.283 0.783 0.500
0.717 0.217 0.500
```



(5)
Cs2Tl12Pt7: relaxed, PBE.

## Properties
- uncorrected energy (Ry/atom) = -0.260
- space group = P-6 (174)
- calculated formation energy (eV per formula unit) = -1.77

Structure (POSCAR):
```
Cs2Tl12Pt7
1.0
11.800 0.000 0.000
-5.900 10.219 0.000
0.000 0.000 4.569
Cs Tl Pt
2 12 7
Direct
0.000 0.000 0.000
0.333 0.667 0.500
0.050 0.277 0.500
0.115 0.702 0.000
0.227 0.950 0.500
0.298 0.413 0.000
0.387 0.190 0.000
0.553 0.436 0.500
0.564 0.118 0.500
0.587 0.885 0.000
0.723 0.773 0.500
0.803 0.613 0.000
0.810 0.197 0.000
0.882 0.447 0.500
0.053 0.432 0.000
0.277 0.246 0.500
0.379 0.947 0.000
0.568 0.621 0.000
0.667 0.333 0.000
0.754 0.031 0.500
0.969 0.723 0.500
```



(6)
CsTl3Pt3: relaxed, PBE.

## Properties
- uncorrected energy (Ry/atom) = -0.269
- space group = Pm-3n (223)
- polymorph energy (0 for the lowest one) (meV per atom) = 160
- calculated formation energy (eV per formula unit) = 0.45

Structure (POSCAR):
```
CsTl3Pt3
1.0
7.703 0.000 0.000
0.000 7.703 0.000
0.000 0.000 7.703
Cs Tl Pt
2 6 6
Direct
0.000 0.000 0.000
0.500 0.500 0.500
0.000 0.250 0.500
0.000 0.750 0.500
0.250 0.500 0.000
0.500 0.000 0.250
0.500 0.000 0.750
0.750 0.500 0.000
0.000 0.500 0.250
0.000 0.500 0.750
0.250 0.000 0.500
0.500 0.250 0.000
0.500 0.750 0.000
0.750 0.000 0.500
```



(7)
CsTl8Pt4: relaxed, PBE.

## Properties
- uncorrected energy (Ry/atom) = -0.256
- space group = C2/m (12)
- calculated formation energy (eV per formula unit) = -1.40

Structure (POSCAR):
```
CsTl8Pt4
1.0
8.021 -2.131 0.000
8.021 2.131 0.000
-5.823 0.000 10.680
Cs Tl Pt
1 8 4
Direct
0.000 0.000 0.000
0.017 0.017 0.697
0.272 0.272 0.912
0.347 0.347 0.709
0.361 0.361 0.414
0.639 0.639 0.586
0.653 0.653 0.291
0.728 0.728 0.088
0.983 0.983 0.303
0.178 0.178 0.463
0.360 0.360 0.182
0.640 0.640 0.818
0.822 0.822 0.537
```



(8)
CsTl3Pt: relaxed, PBE.

## Properties
- uncorrected energy (Ry/atom) = -0.212
- space group = C2/m (12)
- polymorph energy (0 for the lowest one) (meV per atom) = 63
- calculated formation energy (eV per formula unit) = -0.42

Structure (POSCAR):
```
CsTl3Pt
1.0
8.652 -2.471 0.000
8.652 2.471 0.000
-3.228 0.000 7.922
Cs Tl Pt
2 6 2
Direct
0.059 0.059 0.313
0.941 0.941 0.687
0.172 0.172 0.999
0.269 0.269 0.710
0.374 0.374 0.279
0.626 0.626 0.721
0.731 0.731 0.290
0.828 0.828 0.001
0.424 0.424 0.996
0.576 0.576 0.004
```



(9)
CsTl3Pt: relaxed, PBE.

## Properties
- uncorrected energy (Ry/atom) = -0.205
- space group = Amm2 (38)
- polymorph energy (0 for the lowest one) (meV per atom) = 154
- calculated formation energy (eV per formula unit) = 0.04

Structure (POSCAR):
```
CsTl3Pt
1.0
3.810 0.000 0.000
0.000 3.591 6.446
0.000 -3.591 6.446
Cs Tl Pt
1 3 1
Direct
0.000 0.000 0.000
0.000 0.046 0.481
0.000 0.481 0.046
0.500 0.525 0.525
0.500 0.741 0.741
```



(10)
CsTl2Pt2: relaxed, PBE.

## Properties
- uncorrected energy (Ry/atom) = -0.266
- space group = I4/mmm (139)
- polymorph energy (0 for the lowest one) (meV per atom) = 59
- calculated formation energy (eV per formula unit) = -0.45

Structure (POSCAR):
```
CsTl2Pt2
1.0
-2.482 2.482 5.667
2.482 -2.482 5.667
2.482 2.482 -5.667
Cs Tl Pt
1 2 2
Direct
0.000 0.000 0.000
0.250 0.750 0.500
0.750 0.250 0.500
0.383 0.383 0.000
0.617 0.617 0.000
```



(11)
CsTl3Pt3: relaxed, PBE.

## Properties
- uncorrected energy (Ry/atom) = -0.281
- space group = R-3 (148)
- polymorph energy (0 for the lowest one) (meV per atom) = 0
- calculated formation energy (eV per formula unit) = -0.67

Structure (POSCAR):
```
CsTl3Pt3
1.0
3.476 2.007 10.067
-3.476 2.007 10.067
0.000 -4.014 10.067
Cs Tl Pt
2 6 6
Direct
0.198 0.198 0.198
0.802 0.802 0.802
0.208 0.272 0.747
0.253 0.792 0.728
0.272 0.747 0.208
0.728 0.253 0.792
0.747 0.208 0.272
0.792 0.728 0.253
0.127 0.264 0.564
0.264 0.564 0.127
0.436 0.873 0.736
0.564 0.127 0.264
0.736 0.436 0.873
0.873 0.736 0.436
```



(12)
CsTlPt3: relaxed, PBE.

## Properties
- uncorrected energy (Ry/atom) = -0.192
- space group = Pm-3m (221)
- polymorph energy (0 for the lowest one) (meV per atom) = 878
- calculated formation energy (eV per formula unit) = 8.31

Structure (POSCAR):
```
CsTlPt3
1.0
5.318 0.000 0.000
0.000 5.318 0.000
0.000 0.000 5.318
Cs Tl Pt
1 1 3
Direct
0.000 0.000 0.000
0.500 0.500 0.500
0.000 0.000 0.500
0.000 0.500 0.000
0.500 0.000 0.000
```



(13)
CsTl3Pt: relaxed, PBE.

## Properties
- uncorrected energy (Ry/atom) = -0.202
- space group = P4mm (99)
- polymorph energy (0 for the lowest one) (meV per atom) = 192
- calculated formation energy (eV per formula unit) = 0.23

Structure (POSCAR):
```
CsTl3Pt
1.0
4.847 0.000 0.000
0.000 4.847 0.000
0.000 0.000 9.343
Cs Tl Pt
1 3 1
Direct
0.000 0.000 0.000
0.000 0.000 0.422
0.000 0.500 0.651
0.500 0.000 0.651
0.500 0.500 0.804
```



(14)
CsTl3Pt: relaxed, PBE.

## Properties
- uncorrected energy (Ry/atom) = -0.195
- space group = Cmcm (63)
- polymorph energy (0 for the lowest one) (meV per atom) = 288
- calculated formation energy (eV per formula unit) = 0.70

Structure (POSCAR):
```
CsTl3Pt
1.0
3.236 -16.038 0.000
3.236 16.038 0.000
0.000 0.000 5.378
Cs Tl Pt
2 6 2
Direct
0.117 0.883 0.750
0.883 0.117 0.250
0.000 0.000 0.000
0.000 0.000 0.500
0.030 0.451 0.750
0.451 0.030 0.250
0.549 0.970 0.750
0.970 0.549 0.250
0.221 0.779 0.750
0.779 0.221 0.250
```



(15)
Cs3Tl8Pt3: relaxed, PBE.

## Properties
- uncorrected energy (Ry/atom) = -0.211
- space group = Immm (71)
- calculated formation energy (eV per formula unit) = -0.62

Structure (POSCAR):
```
Cs3Tl8Pt3
1.0
-2.586 6.275 7.237
2.586 -6.275 7.237
2.586 6.275 -7.237
Cs Tl Pt
3 8 3
Direct
0.000 0.000 0.000
0.341 0.341 0.000
0.659 0.659 0.000
0.024 0.675 0.350
0.196 0.896 0.300
0.325 0.675 0.650
0.404 0.104 0.300
0.596 0.896 0.700
0.675 0.325 0.350
0.804 0.104 0.700
0.976 0.325 0.650
0.239 0.500 0.739
0.500 0.000 0.500
0.761 0.500 0.261
```



(16)
Cs3Tl2Pt: relaxed, PBE.

## Properties
- uncorrected energy (Ry/atom) = -0.172
- space group = Cmcm (63)
- calculated formation energy (eV per formula unit) = -0.68

Structure (POSCAR):
```
Cs3Tl2Pt
1.0
6.934 -5.118 0.000
6.934 5.118 0.000
0.000 0.000 8.976
Cs Tl Pt
6 4 2
Direct
0.023 0.630 0.250
0.209 0.791 0.750
0.370 0.977 0.250
0.630 0.023 0.750
0.791 0.209 0.250
0.977 0.370 0.750
0.378 0.378 0.000
0.378 0.378 0.500
0.622 0.622 0.000
0.622 0.622 0.500
0.467 0.533 0.250
0.533 0.467 0.750
```



(17)
Cs4Tl5Pt2: relaxed, PBE.

## Properties
- uncorrected energy (Ry/atom) = -0.182
- space group = P2/m (10)
- calculated formation energy (eV per formula unit) = 0.12

Structure (POSCAR):
```
Cs4Tl5Pt2
1.0
7.959 0.000 0.000
0.000 4.999 0.000
-0.096 0.000 11.723
Cs Tl Pt
4 5 2
Direct
0.157 0.000 0.371
0.220 0.000 0.955
0.780 0.000 0.045
0.843 0.000 0.629
0.224 0.500 0.691
0.414 0.500 0.190
0.500 0.500 0.500
0.586 0.500 0.810
0.776 0.500 0.309
0.072 0.500 0.185
0.928 0.500 0.815
```



(18)
CsTlPt: relaxed, PBE.

## Properties
- uncorrected energy (Ry/atom) = -0.234
- space group = P3m1 (156)
- polymorph energy (0 for the lowest one) (meV per atom) = 59
- calculated formation energy (eV per formula unit) = -0.29

Structure (POSCAR):
```
CsTlPt
1.0
4.739 0.000 0.000
-2.369 4.104 0.000
0.000 0.000 5.656
Cs Tl Pt
1 1 1
Direct
0.000 0.000 0.000
0.667 0.333 0.500
0.333 0.667 0.498
```



(19)
Cs3Tl4Pt2: relaxed, PBE.

## Properties
- uncorrected energy (Ry/atom) = -0.208
- space group = C2/c (15)
- polymorph energy (0 for the lowest one) (meV per atom) = 0
- calculated formation energy (eV per formula unit) = -1.37

Structure (POSCAR):
```
Cs3Tl4Pt2
1.0
8.770 -5.612 0.000
8.770 5.612 0.000
-2.400 0.000 7.397
Cs Tl Pt
6 8 4
Direct
0.056 0.944 0.750
0.268 0.492 0.865
0.492 0.268 0.365
0.508 0.732 0.635
0.732 0.508 0.135
0.944 0.056 0.250
0.085 0.612 0.328
0.126 0.266 0.064
0.266 0.126 0.564
0.388 0.915 0.172
0.612 0.085 0.828
0.734 0.874 0.436
0.874 0.734 0.936
0.915 0.388 0.672
0.081 0.365 0.418
0.365 0.081 0.918
0.635 0.919 0.082
0.919 0.635 0.582
```



(20)
CsTl3Pt: relaxed, PBE.

## Properties
- uncorrected energy (Ry/atom) = -0.215
- space group = C2 (5)
- polymorph energy (0 for the lowest one) (meV per atom) = 17
- calculated formation energy (eV per formula unit) = -0.65

Structure (POSCAR):
```
CsTl3Pt
1.0
10.121 -3.191 0.000
10.121 3.191 0.000
-0.015 0.000 5.664
Cs Tl Pt
2 6 2
Direct
0.186 0.186 0.252
0.814 0.814 0.748
0.075 0.799 0.249
0.201 0.925 0.751
0.402 0.474 0.749
0.516 0.240 0.248
0.526 0.598 0.251
0.760 0.484 0.752
0.803 0.197 0.000
0.804 0.196 0.500
```